# 1
{
  "formula": "CaLaPm2Te4",
  "functional": "PBE",
  "state": "relaxed",
  "cell": [[-6.792, 5.361, -2.514], [-2.960, -6.389, -5.622], [1.209, -1.903, 8.682]],
  "species": ["La", "Pm", "Pm", "Te", "Ca", "Te", "Te", "Pm", "Te", "Pm", "Te", "La", "Te", "Te", "Te", "Ca"],
  "fractional_positions": [[0.500, 0.500, 0.500], [0.500, 0.000, 0.500], [0.500, 0.000, 0.000], [0.249, 0.251, 0.995], [0.000, 0.500, 0.000], [0.249, 0.251, 0.505], [0.245, 0.750, 0.497], [0.500, 0.500, 0.000], [0.250, 0.745, 0.997], [0.000, 0.000, 0.500], [0.755, 0.250, 0.503], [0.000, 0.000, 0.000], [0.750, 0.255, 0.003], [0.751, 0.749, 0.495], [0.751, 0.749, 0.005], [0.000, 0.500, 0.500]],
  "vol_a3_per_cell": 517.2,
  "space_group": "Imma (74)",
  "total_energy_ry_per_atom": -0.3767,
  "magnetic_moment_mub_per_fu": 0.00,
  "formation_energy_uncorrected_ev_per_atom": -1.500,
  "n_ef_per_ev_cell": 8.41
}



# 2
{
  "formula": "SrMnBe",
  "functional": "PBE",
  "state": "relaxed",
  "cell": [[6.052, 0.002, -0.008], [4.257, 4.302, 0.008], [-5.150, -2.161, 2.330]],
  "species": ["Sr", "Be", "Mn"],
  "fractional_positions": [[0.336, 0.336, 0.000], [0.050, 0.050, 0.000], [0.614, 0.614, 0.000]],
  "vol_a3_per_cell": 60.6,
  "space_group": "I4mm (107)",
  "total_energy_ry_per_atom": -0.3195,
  "magnetic_moment_mub_per_fu": 3.29,
  "n_ef_per_ev_cell": 2.17
}